1.
Density functional theory data (PBE) for a geometry-optimized Tm3Mg2Pb structure.

DFT formation energy: -0.200 eV per atom

a b c (Å): 4.082 5.045 15.402
angles (deg): 90.00 90.00 90.00
Fractional positions:
Mg 0.000 0.500 0.827
Mg 0.000 0.000 0.673
Mg 0.000 0.500 0.173
Mg 0.000 0.000 0.327
Pb 0.000 0.500 0.500
Pb 0.000 0.000 0.000
Tm 0.500 0.000 0.168
Tm 0.500 0.500 0.668
Tm 0.500 0.000 0.500
Tm 0.500 0.500 0.332
Tm 0.500 0.000 0.832
Tm 0.500 0.500 0.000

---

2.
Density functional theory data (PBE) for a geometry-optimized Cs4SClF structure.

raw formation energy: -11.8 eV/f.u.

a b c (Å): 8.304 7.909 9.838
angles (deg): 90.00 108.38 90.00
Fractional positions:
Cs 0.543 0.250 0.414
Cs 0.545 0.250 0.864
Cs 0.000 0.000 0.271
Cs 0.000 0.000 0.729
Cs 0.457 0.750 0.586
Cs 0.455 0.750 0.136
Cs 0.000 0.500 0.729
Cs 0.000 0.500 0.271
Cl 0.741 0.750 0.939
Cl 0.259 0.250 0.061
F 0.759 0.250 0.700
F 0.241 0.750 0.300
S 0.773 0.750 0.439
S 0.227 0.250 0.561

---

3.
Density functional theory data (PBE) for a geometry-optimized Li5AsSe6 structure.

raw formation energy: -7.4 eV/f.u.

a b c (Å): 7.030 6.149 6.398
angles (deg): 61.28 81.38 71.82
Fractional positions:
Se 0.757 0.403 0.681
Se 0.243 0.916 0.681
Se 0.243 0.597 0.319
Se 0.774 0.741 0.000
Se 0.226 0.259 0.000
Se 0.757 0.084 0.319
Li 0.500 0.149 0.702
Li 0.000 0.674 0.652
Li 0.500 0.500 0.000
Li 0.000 0.326 0.348
Li 0.500 0.851 0.298
As 0.000 0.000 0.000

---

4.
Density functional theory data (PBE) for a geometry-optimized Tc2Sb structure.

raw formation energy: 0.8 eV/f.u.
ΔE to the lowest computed polymorph: 156 meV/atom

a b c (Å): 4.796 4.796 4.796
angles (deg): 143.28 130.33 63.33
Fractional positions:
Tc 0.328 0.328 0.000
Tc 0.672 0.672 0.000
Sb 0.000 0.000 0.000

---

no.,magnetization (μB per atom),V (Å³/cell)
1,0.00,317.17
2,0.02,613.16
3,0.00,230.41
4,0.00,49.67